CsNaCd5 | GGA-PBE | optimized geometry

VASP energy, eV per atom: -1.0260
DOS at the Fermi energy, states/eV per cell: 13.2
Crystal system: orthorhombic
Energy of formation, meV/atom: -62

a = 9.892 Å, b = 6.602 Å, c = 12.845 Å
α = 90.00°, β = 90.00°, γ = 90.00°
Space group Pnma (No. 62)
Symmetry-distinct sites (fractional):
1 Cs 0.238 0.250 0.062
2 Na 0.132 0.750 0.860
3 Cd 0.072 0.011 0.323
4 Cd 0.083 0.750 0.117
5 Cd 0.104 0.250 0.524
6 Cd 0.173 0.250 0.760